Record 1
First-principles (PBE) data for a relaxed structure of LiRuSeI, as listed in Alexandria.

Properties
Uncorrected formation energy: -1.365 eV/f.u.
Offset from the most stable computed form: 34 meV/atom
Mass density: 6.27 Mg/m³

Lattice parameters (Å, degrees): 6.917 6.917 6.917 32.13 32.13 32.13
Fractional coordinates of all 4 atoms:
Li (0.000, 0.000, 0.000)
Ru (0.462, 0.462, 0.462)
Se (0.738, 0.738, 0.738)
I (0.223, 0.223, 0.223)

***

Record 2
First-principles (PBE) data for a relaxed structure of CeTmRuRh, as listed in Alexandria.

Properties
Offset from the most stable computed form: 18 meV/atom
E_form: -0.60 eV/atom
Mass density: 10.62 Mg/m³

Lattice parameters (Å, degrees): 4.841 4.841 4.841 60.00 60.00 60.00
Fractional coordinates of all 4 atoms:
Ce (0.000, 0.000, 0.000)
Tm (0.500, 0.500, 0.500)
Ru (0.750, 0.750, 0.750)
Rh (0.250, 0.250, 0.250)

***

Record 3
First-principles (PBE) data for a relaxed structure of YTmMg, as listed in Alexandria.

Properties
Offset from the most stable computed form: 43 meV/atom
E_form: 0.00 eV/atom
Mass density: 5.39 Mg/m³

Lattice parameters (Å, degrees): 3.439 9.406 5.372 90.00 90.01 90.00
Fractional coordinates of all 6 atoms:
Y (0.000, 0.248, 0.000)
Y (0.000, 0.752, 0.500)
Tm (0.499, 0.415, 0.500)
Tm (0.499, 0.585, 0.000)
Mg (0.505, 0.080, 0.499)
Mg (0.505, 0.920, 0.999)